(1)
A plane-wave DFT calculation with PBE+U was carried out for Cr2SiNiO6 after structural relaxation.

As for the electronic total energy: -72.47 eV per formula unit.

a = 5.339 Å, b = 5.339 Å, c = 5.339 Å
α = 55.41°, β = 55.41°, γ = 55.41°
Fractional positions:
Cr  0.000  0.000  0.000
Cr  0.495  0.495  0.495
Si  0.802  0.802  0.802
Ni  0.294  0.294  0.294
O  0.061  0.438  0.713
O  0.176  0.894  0.607
O  0.438  0.713  0.061
O  0.607  0.176  0.894
O  0.713  0.061  0.438
O  0.894  0.607  0.176

(2)
A plane-wave DFT calculation with PBE+U was carried out for CrSiNi2O6 after structural relaxation.

As for the electronic total energy: -64.24 eV per formula unit.

a = 5.291 Å, b = 5.291 Å, c = 5.291 Å
α = 55.41°, β = 55.41°, γ = 55.41°
Fractional positions:
Cr  0.000  0.000  0.000
Si  0.496  0.496  0.496
Ni  0.296  0.296  0.296
Ni  0.802  0.802  0.802
O  0.125  0.702  0.395
O  0.236  0.600  0.856
O  0.395  0.125  0.702
O  0.600  0.856  0.236
O  0.702  0.395  0.125
O  0.856  0.236  0.600

(3)
A plane-wave DFT calculation with PBE+U was carried out for CrSiNiO4 after structural relaxation.

As for the electronic total energy: -48.69 eV per formula unit.

a = 5.930 Å, b = 5.930 Å, c = 5.930 Å
α = 122.25°, β = 121.71°, γ = 86.61°
Fractional positions:
Cr  0.000  0.000  0.000
Cr  0.500  0.000  0.500
Si  0.368  0.618  0.750
Si  0.632  0.382  0.250
Ni  0.000  0.000  0.500
Ni  0.000  0.500  0.000
O  0.237  0.726  0.512
O  0.255  0.265  0.510
O  0.255  0.745  0.990
O  0.286  0.274  0.012
O  0.714  0.726  0.988
O  0.745  0.255  0.010
O  0.745  0.735  0.490
O  0.763  0.274  0.488

(4)
A plane-wave DFT calculation with PBE+U was carried out for Sr2CrNiO after structural relaxation.

As for the electronic total energy: -18.44 eV per formula unit.

a = 5.899 Å, b = 5.899 Å, c = 3.687 Å
α = 90.00°, β = 90.00°, γ = 90.00°
Fractional positions:
Sr  0.000  0.500  0.000
Sr  0.500  0.000  0.000
Cr  0.000  0.000  0.500
Ni  0.500  0.500  0.000
O  0.500  0.500  0.500

(5)
A plane-wave DFT calculation with PBE+U was carried out for TaCrNi2O6 after structural relaxation.

As for the electronic total energy: -72.27 eV per formula unit.

a = 5.522 Å, b = 5.522 Å, c = 5.522 Å
α = 55.39°, β = 55.39°, γ = 55.39°
Fractional positions:
Ta  0.000  0.000  0.000
Cr  0.498  0.498  0.498
Ni  0.296  0.296  0.296
Ni  0.800  0.800  0.800
O  0.106  0.381  0.722
O  0.219  0.882  0.610
O  0.381  0.722  0.106
O  0.610  0.219  0.882
O  0.722  0.106  0.381
O  0.882  0.610  0.219

(6)
A plane-wave DFT calculation with PBE+U was carried out for CrTcNi2O6 after structural relaxation.

As for the electronic total energy: -62.19 eV per formula unit.

a = 5.334 Å, b = 5.334 Å, c = 4.596 Å
α = 90.00°, β = 90.00°, γ = 90.00°
Fractional positions:
Cr  0.000  0.000  0.000
Tc  0.500  0.500  0.944
Ni  0.000  0.500  0.285
Ni  0.500  0.000  0.285
O  0.000  0.000  0.603
O  0.260  0.260  0.119
O  0.260  0.740  0.119
O  0.500  0.500  0.578
O  0.740  0.260  0.119
O  0.740  0.740  0.119

(7)
A plane-wave DFT calculation with PBE+U was carried out for CrNiTeO6 after structural relaxation.

As for the electronic total energy: -52.50 eV per formula unit.

a = 4.561 Å, b = 4.561 Å, c = 9.217 Å
α = 90.00°, β = 90.00°, γ = 90.00°
Fractional positions:
Cr  0.000  0.000  0.000
Cr  0.500  0.500  0.500
Ni  0.000  0.000  0.663
Ni  0.500  0.500  0.163
Te  0.000  0.000  0.329
Te  0.500  0.500  0.829
O  0.189  0.189  0.157
O  0.198  0.198  0.834
O  0.206  0.206  0.488
O  0.294  0.706  0.988
O  0.302  0.698  0.334
O  0.311  0.689  0.657
O  0.689  0.311  0.657
O  0.698  0.302  0.334
O  0.706  0.294  0.988
O  0.794  0.794  0.488
O  0.802  0.802  0.834
O  0.811  0.811  0.157

(8)
A plane-wave DFT calculation with PBE+U was carried out for Ti2CrNiO after structural relaxation.

As for the electronic total energy: -23.10 eV per formula unit.

a = 4.568 Å, b = 4.568 Å, c = 4.268 Å
α = 90.00°, β = 90.00°, γ = 90.00°
Fractional positions:
Ti  0.000  0.500  0.000
Ti  0.500  0.000  0.000
Cr  0.000  0.000  0.000
Ni  0.000  0.000  0.500
O  0.500  0.500  0.500

(9)
A plane-wave DFT calculation with PBE+U was carried out for TlCr2NiO8 after structural relaxation.

As for the electronic total energy: -71.71 eV per formula unit.

a = 8.621 Å, b = 8.621 Å, c = 8.621 Å
α = 34.17°, β = 34.17°, γ = 34.17°
Fractional positions:
Tl  0.000  0.000  0.000
Cr  0.237  0.237  0.237
Cr  0.763  0.763  0.763
Ni  0.500  0.500  0.500
O  0.113  0.489  0.750
O  0.250  0.887  0.511
O  0.306  0.306  0.306
O  0.489  0.750  0.113
O  0.511  0.250  0.887
O  0.694  0.694  0.694
O  0.750  0.113  0.489
O  0.887  0.511  0.250

(10)
A plane-wave DFT calculation with PBE+U was carried out for Tl2CrNiO after structural relaxation.

As for the electronic total energy: -16.50 eV per formula unit.

a = 5.226 Å, b = 5.226 Å, c = 3.678 Å
α = 90.00°, β = 90.00°, γ = 90.00°
Fractional positions:
Tl  0.000  0.500  0.000
Tl  0.500  0.000  0.000
Cr  0.000  0.000  0.500
Ni  0.500  0.500  0.500
O  0.500  0.500  0.000

(11)
A plane-wave DFT calculation with PBE+U was carried out for UCrNi2O6 after structural relaxation.

As for the electronic total energy: -69.94 eV per formula unit.

a = 5.849 Å, b = 5.849 Å, c = 4.017 Å
α = 90.00°, β = 90.00°, γ = 90.00°
Fractional positions:
U  0.000  0.000  0.000
Cr  0.500  0.500  0.000
Ni  0.000  0.500  0.006
Ni  0.500  0.000  0.006
O  0.000  0.000  0.500
O  0.256  0.256  0.002
O  0.256  0.744  0.002
O  0.500  0.500  0.501
O  0.744  0.256  0.002
O  0.744  0.744  0.002

Please write out number 4 again, unchanged.
A plane-wave DFT calculation with PBE+U was carried out for Sr2CrNiO after structural relaxation.

As for the electronic total energy: -18.44 eV per formula unit.

a = 5.899 Å, b = 5.899 Å, c = 3.687 Å
α = 90.00°, β = 90.00°, γ = 90.00°
Fractional positions:
Sr  0.000  0.500  0.000
Sr  0.500  0.000  0.000
Cr  0.000  0.000  0.500
Ni  0.500  0.500  0.000
O  0.500  0.500  0.500